# TiMnSi2

A crystal of TiMnSi2 relaxed with PBEsol (SCAN, the Alexandria database).

Calculated values
Magnetic moment   16.8 μB/cell
Formation energy from raw total energies   -0.648 eV per atom
Calculated total energy   -14.227 eV per atom

The structure in CIF format:
```
data_TiMnSi2
_symmetry_space_group_name_H-M 'P 1'
_symmetry_Int_Tables_number 1
_cell_length_a 7.653
_cell_length_b 8.555
_cell_length_c 9.366
_cell_angle_alpha 90.00
_cell_angle_beta 90.00
_cell_angle_gamma 90.00
loop_
_symmetry_equiv_pos_as_xyz
'x,y,z'
loop_
_atom_site_label
_atom_site_type_symbol
_atom_site_fract_x
_atom_site_fract_y
_atom_site_fract_z
Si1 Si 0.655 0.332 0.318
Si2 Si 0.655 0.168 0.818
Si3 Si 0.000 0.371 0.603
Si4 Si 0.500 0.624 0.404
Si5 Si 0.500 0.376 0.596
Si6 Si 0.500 0.876 0.904
Si7 Si 0.500 0.962 0.625
Si8 Si 0.345 0.332 0.318
Si9 Si 0.000 0.871 0.897
Si10 Si 0.000 0.962 0.621
Si11 Si 0.000 0.038 0.379
Si12 Si 0.500 0.462 0.875
Si13 Si 0.000 0.462 0.879
Si14 Si 0.345 0.168 0.818
Si15 Si 0.500 0.038 0.375
Si16 Si 0.500 0.538 0.125
Si17 Si 0.655 0.832 0.182
Si18 Si 0.500 0.124 0.096
Si19 Si 0.000 0.129 0.103
Si20 Si 0.000 0.629 0.397
Si21 Si 0.655 0.668 0.682
Si22 Si 0.345 0.668 0.682
Si23 Si 0.345 0.832 0.182
Si24 Si 0.000 0.538 0.121
Mn1 Mn 0.753 0.415 0.752
Mn2 Mn 0.757 0.000 0.000
Mn3 Mn 0.247 0.085 0.252
Mn4 Mn 0.753 0.585 0.248
Mn5 Mn 0.243 0.500 0.500
Mn6 Mn 0.247 0.415 0.752
Mn7 Mn 0.243 0.000 0.000
Mn8 Mn 0.753 0.085 0.252
Mn9 Mn 0.247 0.915 0.748
Mn10 Mn 0.247 0.585 0.248
Mn11 Mn 0.757 0.500 0.500
Mn12 Mn 0.753 0.915 0.748
Ti1 Ti 0.000 0.669 0.679
Ti2 Ti 0.760 0.671 0.953
Ti3 Ti 0.760 0.171 0.547
Ti4 Ti 0.240 0.171 0.547
Ti5 Ti 0.760 0.829 0.453
Ti6 Ti 0.240 0.671 0.953
Ti7 Ti 0.240 0.329 0.047
Ti8 Ti 0.760 0.329 0.047
Ti9 Ti 0.240 0.829 0.453
Ti10 Ti 0.000 0.331 0.321
Ti11 Ti 0.000 0.831 0.179
Ti12 Ti 0.000 0.169 0.821
```


# Sc2BeCuP

A crystal of Sc2BeCuP relaxed with PBEsol (SCAN, the Alexandria database).

Calculated values
Magnetic moment   0.0 μB/cell
Calculated total energy   -11.889 eV per atom

The structure in CIF format:
```
data_Sc2BeCuP
_symmetry_space_group_name_H-M 'P 1'
_symmetry_Int_Tables_number 1
_cell_length_a 3.856
_cell_length_b 4.867
_cell_length_c 4.867
_cell_angle_alpha 90.00
_cell_angle_beta 90.00
_cell_angle_gamma 90.00
loop_
_symmetry_equiv_pos_as_xyz
'x,y,z'
loop_
_atom_site_label
_atom_site_type_symbol
_atom_site_fract_x
_atom_site_fract_y
_atom_site_fract_z
Cu1 Cu 0.500 0.500 0.500
Sc1 Sc 0.000 0.500 0.000
Sc2 Sc 0.000 0.000 0.500
P1 P 0.000 0.000 0.000
Be1 Be 0.500 0.000 0.000
```